No. 1
Lu4Ta2C3S3: relaxed, PBE-GGA.

a b c (Å): 5.980 5.980 12.718
angles (deg): 76.40 76.40 60.19
Positions (direct):
C1 0.500 0.000 0.500
C2 0.191 0.654 0.500
C3 0.346 0.809 0.000
C4 0.000 0.500 0.000
C5 0.809 0.346 0.500
C6 0.654 0.191 0.000
Lu1 0.878 0.702 0.393
Lu2 0.806 0.956 0.607
Lu3 0.122 0.298 0.607
Lu4 0.956 0.806 0.107
Lu5 0.298 0.122 0.107
Lu6 0.044 0.194 0.893
Lu7 0.702 0.878 0.893
Lu8 0.194 0.044 0.393
S1 0.726 0.583 0.751
S2 0.417 0.274 0.749
S3 0.890 0.110 0.250
S4 0.110 0.890 0.750
S5 0.274 0.417 0.249
S6 0.583 0.726 0.251
Ta1 0.645 0.471 0.088
Ta2 0.471 0.645 0.588
Ta3 0.529 0.355 0.412
Ta4 0.355 0.529 0.912

Results
symmetry: No. 15
magnetic moment: 0.000 μB per atom
calculated volume: 190 Å³/f.u.
calculated total energy: -7.99 eV per atom

***

No. 2
Hf2Sc4P3C3: relaxed, PBE-GGA.

a b c (Å): 5.932 5.932 12.673
angles (deg): 90.07 103.49 119.93
Positions (direct):
Sc1 0.596 0.130 0.896
Sc2 0.404 0.036 0.604
Sc3 0.068 0.200 0.104
Sc4 0.404 0.870 0.104
Sc5 0.596 0.964 0.396
Sc6 0.932 0.800 0.896
Sc7 0.735 0.701 0.604
Sc8 0.265 0.299 0.396
Hf1 0.933 0.635 0.399
Hf2 0.736 0.534 0.101
Hf3 0.067 0.365 0.601
Hf4 0.264 0.466 0.899
P1 0.167 0.749 0.750
P2 0.833 0.251 0.250
P3 0.499 0.417 0.750
P4 0.166 0.916 0.250
P5 0.501 0.583 0.250
P6 0.834 0.084 0.750
C1 0.000 0.000 0.500
C2 0.317 0.659 0.500
C3 0.659 0.817 0.000
C4 0.000 0.500 0.000
C5 0.341 0.183 0.000
C6 0.683 0.341 0.500

Results
symmetry: No. 15
magnetic moment: 0.000 μB per atom
calculated volume: 186 Å³/f.u.
calculated total energy: -8.39 eV per atom